DFT (GGA-PBE) results for an optimized crystal structure of Ho3MgAs4.

Properties
For the formation energy, the calculation gives -1175 meV per atom. For the size of the total moment, the calculation gives 0.00 μB per cell. As for the density of states at the Fermi level: 3.83 states/eV per cell.

Lattice parameters (Å, degrees): 5.770 5.770 5.770 90.00 90.00 90.00
Fractional coordinates of all 8 atoms:
Ho: 0.000 0.000 0.500
Ho: 0.000 0.500 0.000
Ho: 0.500 0.000 0.000
Mg: 0.500 0.500 0.500
As: 0.000 0.000 0.000
As: 0.000 0.500 0.500
As: 0.500 0.000 0.500
As: 0.500 0.500 0.000


DFT (GGA-PBE) results for an optimized crystal structure of Ho2MgAs.

Properties
For the formation energy, the calculation gives -361 meV per atom. For the size of the total moment, the calculation gives 0.00 μB per cell. As for the density of states at the Fermi level: 4.41 states/eV per cell.

Lattice parameters (Å, degrees): 10.281 10.281 10.281 21.34 21.34 21.34
Fractional coordinates of all 4 atoms:
Ho: 0.110 0.110 0.110
Ho: 0.890 0.890 0.890
Mg: 0.000 0.000 0.000
As: 0.500 0.500 0.500


DFT (GGA-PBE) results for an optimized crystal structure of HoMgAs2Pd5.

Properties
For the formation energy, the calculation gives -715 meV per atom. For the size of the total moment, the calculation gives 0.00 μB per cell. As for the density of states at the Fermi level: 1.64 states/eV per cell.

Lattice parameters (Å, degrees): 4.202 4.202 8.808 90.00 90.00 90.00
Fractional coordinates of all 9 atoms:
Ho: 0.000 0.000 0.000
Mg: 0.000 0.000 0.500
As: 0.500 0.500 0.139
As: 0.500 0.500 0.861
Pd: 0.000 0.500 0.284
Pd: 0.000 0.500 0.716
Pd: 0.500 0.000 0.284
Pd: 0.500 0.000 0.716
Pd: 0.500 0.500 0.500


DFT (GGA-PBE) results for an optimized crystal structure of Ho6MgAs2Se3.

Properties
For the size of the total moment, the calculation gives 0.00 μB per cell. The calculation puts the uncorrected formation energy at -1.32 eV per atom. As for the density of states at the Fermi level: 5.95 states/eV per cell.

Lattice parameters (Å, degrees): 9.250 9.250 8.326 104.03 104.03 25.45
Fractional coordinates of all 12 atoms:
Ho: 0.001 0.001 0.268
Ho: 0.327 0.327 0.907
Ho: 0.329 0.329 0.426
Ho: 0.671 0.671 0.574
Ho: 0.673 0.673 0.093
Ho: 0.999 0.999 0.732
Mg: 0.500 0.500 0.000
As: 0.165 0.165 0.331
As: 0.835 0.835 0.669
Se: 0.167 0.167 0.830
Se: 0.500 0.500 0.500
Se: 0.833 0.833 0.170


DFT (GGA-PBE) results for an optimized crystal structure of Ho6MgTe3As2.

Properties
For the size of the total moment, the calculation gives 0.00 μB per cell. The calculation puts the uncorrected formation energy at -1.11 eV per atom. As for the density of states at the Fermi level: 4.77 states/eV per cell.

Lattice parameters (Å, degrees): 9.476 9.476 8.671 100.91 100.91 25.59
Fractional coordinates of all 12 atoms:
Ho: 0.014 0.014 0.263
Ho: 0.327 0.327 0.427
Ho: 0.328 0.328 0.881
Ho: 0.672 0.672 0.119
Ho: 0.673 0.673 0.573
Ho: 0.986 0.986 0.737
Mg: 0.500 0.500 0.000
Te: 0.161 0.161 0.839
Te: 0.500 0.500 0.500
Te: 0.839 0.839 0.161
As: 0.171 0.171 0.344
As: 0.829 0.829 0.656


DFT (GGA-PBE) results for an optimized crystal structure of Ho2MnNi3As4.

Properties
For the formation energy, the calculation gives -716 meV per atom. For the size of the total moment, the calculation gives 3.13 μB per cell. As for the density of states at the Fermi level: 5.51 states/eV per cell.

Lattice parameters (Å, degrees): 4.134 4.134 9.650 90.00 90.00 90.00
Fractional coordinates of all 10 atoms:
Ho: 0.000 0.500 0.243
Ho: 0.500 0.000 0.757
Mn: 0.000 0.000 0.500
Ni: 0.000 0.500 0.879
Ni: 0.500 0.000 0.121
Ni: 0.500 0.500 0.500
As: 0.000 0.000 0.000
As: 0.000 0.500 0.637
As: 0.500 0.000 0.363
As: 0.500 0.500 0.000